(1)
SrZn | the Alexandria database | GGA-PBE | optimized geometry; V = 37.45 A^3/atom; total magnetization = 0.0 μB per formula unit; energy relative to the elements = -0.102 eV per atom
1.0
-5.7869 5.7869 2.2365
5.7869 -5.7869 2.2365
5.7869 5.7869 -2.2365
Sr Zn
4 4
Direct
0.0000 0.2659 0.2659
0.0000 0.7341 0.7341
0.2659 0.0000 0.2659
0.7341 0.0000 0.7341
0.2855 0.2855 0.5710
0.2855 0.7145 0.0000
0.7145 0.2855 0.0000
0.7145 0.7145 0.4290

***

(2)
SrZn | the Alexandria database | GGA-PBE | optimized geometry; V = 31.95 A^3/atom; total magnetization = 0.0 μB per formula unit; energy relative to the elements = -0.068 eV per atom
1.0
6.3461 0.0000 0.0000
0.0000 6.3461 0.0000
0.0000 0.0000 6.3461
Sr Zn
4 4
Direct
0.0738 0.4262 0.5738
0.4262 0.5738 0.0738
0.5738 0.0738 0.4262
0.9262 0.9262 0.9262
0.0873 0.9127 0.4127
0.4127 0.0873 0.9127
0.5873 0.5873 0.5873
0.9127 0.4127 0.0873

***

(3)
Sr7Zn6 | the Alexandria database | GGA-PBE | optimized geometry; V = 40.72 A^3/atom; total magnetization = 0.0 μB per formula unit; energy relative to the elements = 0.287 eV per atom
1.0
4.2751 2.4682 8.3613
-4.2751 2.4682 8.3613
0.0000 -4.9364 8.3613
Sr Zn
7 6
Direct
0.0000 0.0000 0.0000
0.0981 0.0981 0.5376
0.0981 0.5376 0.0981
0.4624 0.9019 0.9019
0.5376 0.0981 0.0981
0.9019 0.4624 0.9019
0.9019 0.9019 0.4624
0.1448 0.1448 0.1448
0.3481 0.3481 0.3481
0.4492 0.4492 0.4492
0.5508 0.5508 0.5508
0.6519 0.6519 0.6519
0.8552 0.8552 0.8552

***

(4)
Sr3Zn2 | the Alexandria database | GGA-PBE | optimized geometry; V = 40.07 A^3/atom; total magnetization = 0.0 μB per formula unit; energy relative to the elements = -0.041 eV per atom
1.0
2.2417 1.2942 11.5100
-2.2417 1.2942 11.5100
0.0000 -2.5884 11.5100
Sr Zn
3 2
Direct
0.0000 0.0000 0.0000
0.2184 0.2184 0.2184
0.7816 0.7816 0.7816
0.3922 0.3922 0.3922
0.6078 0.6078 0.6078

***

(5)
Sr3Zn | the Alexandria database | GGA-PBE | optimized geometry; V = 42.36 A^3/atom; total magnetization = 0.0 μB per formula unit; energy relative to the elements = -0.037 eV per atom
1.0
-2.0568 3.1317 6.5768
2.0568 -3.1317 6.5768
2.0568 3.1317 -6.5768
Sr Zn
3 1
Direct
0.0000 0.0000 0.0000
0.3069 0.8069 0.5000
0.6931 0.1931 0.5000
0.5000 0.5000 0.0000

***

(6)
SrZn | the Alexandria database | GGA-PBE | optimized geometry; V = 32.33 A^3/atom; total magnetization = 0.0 μB per formula unit; energy relative to the elements = -0.102 eV per atom
1.0
7.3643 -2.1661 0.0000
7.3643 2.1661 0.0000
-3.1872 0.0000 6.0793
Sr Zn
3 3
Direct
0.0000 0.0000 0.0000
0.2905 0.2905 0.0838
0.5804 0.5804 0.5809
0.2907 0.2907 0.5639
0.6892 0.6892 0.2761
0.8901 0.8901 0.4785

***

(7)
Sr6Zn5 | the Alexandria database | GGA-PBE | optimized geometry; V = 32.61 A^3/atom; total magnetization = 0.0 μB per formula unit; energy relative to the elements = -0.144 eV per atom
1.0
-2.7741 3.8793 8.3325
2.7741 -3.8793 8.3325
2.7741 3.8793 -8.3325
Sr Zn
6 5
Direct
0.0809 0.3327 0.7483
0.2469 0.0000 0.2469
0.4156 0.6673 0.7483
0.5844 0.3327 0.2517
0.7531 0.0000 0.7531
0.9191 0.6673 0.2517
0.0000 0.5000 0.5000
0.1657 0.1657 0.0000
0.3307 0.8307 0.5000
0.6693 0.1693 0.5000
0.8343 0.8343 0.0000

***

(8)
SrZn | the Alexandria database | GGA-PBE | optimized geometry; V = 59.55 A^3/atom; total magnetization = 0.0 μB per formula unit; energy relative to the elements = 0.459 eV per atom
1.0
8.9401 0.0000 0.0000
0.0000 8.9401 0.0000
0.0000 0.0000 8.9401
Sr Zn
6 6
Direct
0.0000 0.2500 0.5000
0.0000 0.7500 0.5000
0.2500 0.5000 0.0000
0.5000 0.0000 0.2500
0.5000 0.0000 0.7500
0.7500 0.5000 0.0000
0.0000 0.5000 0.2500
0.0000 0.5000 0.7500
0.2500 0.0000 0.5000
0.5000 0.2500 0.0000
0.5000 0.7500 0.0000
0.7500 0.0000 0.5000

***

(9)
Sr4Zn11 | the Alexandria database | GGA-PBE | optimized geometry; V = 25.81 A^3/atom; total magnetization = 0.0 μB per formula unit; energy relative to the elements = 0.012 eV per atom
1.0
-4.8943 4.8943 8.0810
4.8943 -4.8943 8.0810
4.8943 4.8943 -8.0810
Sr Zn
8 22
Direct
0.1239 0.1687 0.5448
0.1239 0.5791 0.9552
0.1687 0.1239 0.0448
0.4209 0.8761 0.5448
0.5791 0.1239 0.4552
0.8313 0.8761 0.9552
0.8761 0.4209 0.0448
0.8761 0.8313 0.4552
0.0000 0.5000 0.5000
0.1677 0.3352 0.3987
0.1677 0.7690 0.8325
0.2310 0.5635 0.3987
0.2310 0.8323 0.6675
0.3352 0.1677 0.8987
0.3352 0.4365 0.1675
0.3750 0.6250 0.7500
0.4365 0.3352 0.6675
0.4365 0.7690 0.1013
0.5000 0.0000 0.0000
0.5000 0.5000 0.0000
0.5000 0.5000 0.5000
0.5635 0.2310 0.8987
0.5635 0.6648 0.3325
0.6250 0.3750 0.2500
0.6648 0.5635 0.8325
0.6648 0.8323 0.1013
0.7690 0.1677 0.3325
0.7690 0.4365 0.6013
0.8323 0.2310 0.1675
0.8323 0.6648 0.6013

***

(10)
SrZn3 | the Alexandria database | GGA-PBE | optimized geometry; V = 22.52 A^3/atom; total magnetization = 0.0 μB per formula unit; energy relative to the elements = -0.036 eV per atom
1.0
3.6336 0.0000 0.0000
0.0000 3.6336 0.0000
0.0000 0.0000 6.8233
Sr Zn
1 3
Direct
0.0000 0.0000 0.0000
0.0000 0.0000 0.5000
0.5000 0.5000 0.3105
0.5000 0.5000 0.6895

***

(11)
Sr3Zn | the Alexandria database | GGA-PBE | optimized geometry; V = 40.03 A^3/atom; total magnetization = 0.0 μB per formula unit; energy relative to the elements = 0.123 eV per atom
1.0
0.0000 4.3100 4.3100
4.3100 0.0000 4.3100
4.3100 4.3100 0.0000
Sr Zn
3 1
Direct
0.0000 0.0000 0.0000
0.2500 0.2500 0.2500
0.7500 0.7500 0.7500
0.5000 0.5000 0.5000

***

(12)
SrZn2 | the Alexandria database | GGA-PBE | optimized geometry; V = 24.13 A^3/atom; total magnetization = 0.0 μB per formula unit; energy relative to the elements = -0.233 eV per atom
1.0
4.5744 -3.8793 0.0000
4.5744 3.8793 0.0000
-2.4740 0.0000 4.0795
Sr Zn
2 4
Direct
0.1982 0.1982 0.4490
0.8018 0.8018 0.5510
0.2308 0.5974 0.1650
0.4026 0.7692 0.8350
0.5974 0.2308 0.1650
0.7692 0.4026 0.8350